# ThIrPb (GGA-PBE, relaxed)
data_ThIrPb
_chemical_formula_sum 'Th4 Ir4 Pb4'
_symmetry_space_group_name_H-M 'C m c m'
_symmetry_Int_Tables_number 63
_symmetry_space_group_name_Hall '-C 2c 2'
_cell_length_a 3.642
_cell_length_b 18.153
_cell_length_c 4.718
_cell_angle_alpha 90.00
_cell_angle_beta 90.00
_cell_angle_gamma 90.00
loop_
_atom_site_label
_atom_site_type_symbol
_atom_site_fract_x
_atom_site_fract_y
_atom_site_fract_z
Th1 Th 0.000 0.079 0.250
Ir1 Ir 0.000 0.447 0.250
Pb1 Pb 0.000 0.212 0.750
# * density of states at the Fermi level: 0.58 states/eV per atom
# * density: 13.446 g cm⁻³
# * ΔH_f (0 K): -45.94 kJ/mol of atoms
# * DFT total energy: -7.14 eV/atom
# * total moment: 0.000 μB per formula unit


# TiIrPb2 (GGA-PBE, relaxed)
data_TiIrPb2
_chemical_formula_sum 'Ti4 Ir4 Pb8'
_symmetry_space_group_name_H-M 'I -4 2 d'
_symmetry_Int_Tables_number 122
_symmetry_space_group_name_Hall 'I -4 2bw'
_cell_length_a 6.335
_cell_length_b 6.335
_cell_length_c 12.488
_cell_angle_alpha 90.00
_cell_angle_beta 90.00
_cell_angle_gamma 90.00
loop_
_atom_site_label
_atom_site_type_symbol
_atom_site_fract_x
_atom_site_fract_y
_atom_site_fract_z
Ti1 Ti 0.000 0.000 0.000
Ir1 Ir 0.000 0.000 0.500
Pb1 Pb 0.224 0.250 0.625
# * density of states at the Fermi level: 1.96 states/eV per atom
# * density: 8.674 g cm⁻³
# * ΔH_f (0 K): 100.72 kJ/mol of atoms
# * DFT total energy: -5.00 eV/atom
# * total moment: 0.000 μB per formula unit
# * energy relative to the lowest polymorph listed for this composition: 0.742 eV/atom


# TiIr3Pb (GGA-PBE, relaxed)
data_TiIr3Pb
_chemical_formula_sum 'Ti1 Ir3 Pb1'
_symmetry_space_group_name_H-M 'P m -3 m'
_symmetry_Int_Tables_number 221
_symmetry_space_group_name_Hall '-P 4 2 3'
_cell_length_a 4.687
_cell_length_b 4.687
_cell_length_c 4.687
_cell_angle_alpha 90.00
_cell_angle_beta 90.00
_cell_angle_gamma 90.00
loop_
_atom_site_label
_atom_site_type_symbol
_atom_site_fract_x
_atom_site_fract_y
_atom_site_fract_z
Ti1 Ti 0.000 0.000 0.000
Ir1 Ir 0.000 0.000 0.500
Pb1 Pb 0.500 0.500 0.500
# * density of states at the Fermi level: 1.05 states/eV per atom
# * density: 13.414 g cm⁻³
# * ΔH_f (0 K): 87.01 kJ/mol of atoms
# * DFT total energy: -6.74 eV/atom
# * total moment: 0.000 μB per formula unit
# * energy relative to the lowest polymorph listed for this composition: 0.000 eV/atom


# TiIrPb2 (GGA-PBE, relaxed)
data_TiIrPb2
_chemical_formula_sum 'Ti4 Ir4 Pb8'
_symmetry_space_group_name_H-M 'F m -3 m'
_symmetry_Int_Tables_number 225
_symmetry_space_group_name_Hall '-F 4 2 3'
_cell_length_a 6.877
_cell_length_b 6.877
_cell_length_c 6.877
_cell_angle_alpha 90.00
_cell_angle_beta 90.00
_cell_angle_gamma 90.00
loop_
_atom_site_label
_atom_site_type_symbol
_atom_site_fract_x
_atom_site_fract_y
_atom_site_fract_z
Ti1 Ti 0.000 0.000 0.000
Ir1 Ir 0.000 0.000 0.500
Pb1 Pb 0.250 0.250 0.250
# * density of states at the Fermi level: 1.21 states/eV per atom
# * density: 13.364 g cm⁻³
# * ΔH_f (0 K): 29.11 kJ/mol of atoms
# * DFT total energy: -5.74 eV/atom
# * total moment: 1.525 μB per formula unit
# * energy relative to the lowest polymorph listed for this composition: 0.000 eV/atom


# TiIr3Pb (GGA-PBE, relaxed)
data_TiIr3Pb
_chemical_formula_sum 'Ti1 Ir3 Pb1'
_symmetry_space_group_name_H-M 'P m -3 m'
_symmetry_Int_Tables_number 221
_symmetry_space_group_name_Hall '-P 4 2 3'
_cell_length_a 4.905
_cell_length_b 4.905
_cell_length_c 4.905
_cell_angle_alpha 90.00
_cell_angle_beta 90.00
_cell_angle_gamma 90.00
loop_
_atom_site_label
_atom_site_type_symbol
_atom_site_fract_x
_atom_site_fract_y
_atom_site_fract_z
Ti1 Ti 0.000 0.000 0.000
Ir1 Ir 0.000 0.500 0.500
Pb1 Pb 0.500 0.500 0.500
# * density of states at the Fermi level: 3.35 states/eV per atom
# * density: 11.701 g cm⁻³
# * ΔH_f (0 K): 196.24 kJ/mol of atoms
# * DFT total energy: -5.60 eV/atom
# * total moment: 0.001 μB per formula unit
# * energy relative to the lowest polymorph listed for this composition: 1.132 eV/atom


# Ti2IrPbW (GGA-PBE, relaxed)
data_Ti2IrPbW
_chemical_formula_sum 'Ti2 Ir1 Pb1 W1'
_symmetry_space_group_name_H-M 'P 4/m m m'
_symmetry_Int_Tables_number 123
_symmetry_space_group_name_Hall '-P 4 2'
_cell_length_a 4.773
_cell_length_b 4.773
_cell_length_c 4.845
_cell_angle_alpha 90.00
_cell_angle_beta 90.00
_cell_angle_gamma 90.00
loop_
_atom_site_label
_atom_site_type_symbol
_atom_site_fract_x
_atom_site_fract_y
_atom_site_fract_z
Ti1 Ti 0.000 0.500 0.000
Ir1 Ir 0.000 0.000 0.000
Pb1 Pb 0.500 0.500 0.500
W1 W 0.000 0.000 0.500
# * density of states at the Fermi level: 1.32 states/eV per atom
# * density: 10.214 g cm⁻³
# * ΔH_f (0 K): 59.36 kJ/mol of atoms
# * DFT total energy: -7.65 eV/atom
# * total moment: 0.110 μB per formula unit